An optimized crystal structure of Ba4LiTe4, computed with PBE.

Unit cell a=7.1235 b=9.9968 c=9.9968 alpha=90.00 beta=90.00 gamma=90.00
Last column: nearest neighbours and their distance in Å.
Element x y z (fractional)
Ba (0.7123, 0.0000, 0.7334)  1 Li 3.36, 6 Te 3.52-3.63
Ba (0.2123, 0.2334, 0.5000)  1 Li 3.36, 6 Te 3.52-3.63
Li (0.5000, 0.5000, 0.5000)  4 Te 2.83
Ba (0.2123, 0.7666, 0.5000)  1 Li 3.36, 6 Te 3.52-3.63
Ba (0.2877, 0.2666, 0.0000)  1 Li 3.36, 6 Te 3.52-3.63
Te (0.7197, 0.2645, 0.5000)  1 Li 2.83
Te (0.2803, 0.5000, 0.7355)  1 Li 2.83
Te (0.7803, 0.7645, 0.0000)  1 Li 2.83
Ba (0.7877, 0.5000, 0.2334)  1 Li 3.36, 6 Te 3.52-3.63
Li (0.0000, 0.0000, 0.0000)  4 Te 2.83
Ba (0.2877, 0.7334, 0.0000)  1 Li 3.36, 6 Te 3.52-3.63
Te (0.7803, 0.2355, 0.0000)  1 Li 2.83
Te (0.2197, 0.0000, 0.2355)  1 Li 2.83
Te (0.7197, 0.7355, 0.5000)  1 Li 2.83
Te (0.2197, 0.0000, 0.7645)  1 Li 2.83
Te (0.2803, 0.5000, 0.2645)  1 Li 2.83
Ba (0.7877, 0.5000, 0.7666)  1 Li 3.36, 6 Te 3.52-3.63
Ba (0.7123, 0.0000, 0.2666)  1 Li 3.36, 6 Te 3.52-3.63

Properties
- formation energy from raw total energies (meV per atom) = -1554
- size of the total moment (μB per cell) = 0.00
- calculated total energy (eV per atom) = -4.017